Entry from Alexandria: a geometry-optimized MnVFe3 structure (PBE).

Geometry as POSCAR:
```
MnVFe3
1.0
4.2385 0.0000 0.0000
0.0000 4.2385 0.0000
0.0000 0.0000 4.2385
Mn V Fe
1 1 3
direct
0.0000 0.0000 0.0000 Mn
0.5000 0.5000 0.5000 V
0.0000 0.5000 0.5000 Fe
0.5000 0.0000 0.5000 Fe
0.5000 0.5000 0.0000 Fe
```

Properties
As for the formation enthalpy at 0 K: 1069 meV per atom. The density of states at the Fermi level comes out at 4.79 states/eV/cell. For the total DFT energy (no corrections), the calculation gives -7.666 eV/atom. The total magnetization comes out at 8.6 μB per cell. The calculated density comes out at 5.96 g cm⁻³.

Entry from Alexandria: a geometry-optimized La2Pt15Rh2 structure (PBE).

Geometry as POSCAR:
```
La2Pt15Rh2
1.0
4.6444 2.6814 4.4912
-4.6444 2.6814 4.4912
0.0000 -5.3629 4.4912
La Pt Rh
2 15 2
direct
0.1647 0.1647 0.1647 La
0.8353 0.8353 0.8353 La
0.0000 0.5000 0.5000 Pt
0.1525 0.1525 0.6570 Pt
0.1525 0.6570 0.1525 Pt
0.1963 0.5000 0.8037 Pt
0.1963 0.8037 0.5000 Pt
0.3430 0.8475 0.8475 Pt
0.5000 0.0000 0.5000 Pt
0.5000 0.1963 0.8037 Pt
0.5000 0.5000 0.0000 Pt
0.5000 0.8037 0.1963 Pt
0.6570 0.1525 0.1525 Pt
0.8037 0.1963 0.5000 Pt
0.8037 0.5000 0.1963 Pt
0.8475 0.3430 0.8475 Pt
0.8475 0.8475 0.3430 Pt
0.4006 0.4006 0.4006 Rh
0.5994 0.5994 0.5994 Rh
```

Properties
As for the formation enthalpy at 0 K: -413 meV per atom. The density of states at the Fermi level comes out at 24.66 states/eV/cell. For the total DFT energy (no corrections), the calculation gives -6.474 eV/atom. The total magnetization comes out at 0.1 μB per cell. The calculated density comes out at 16.87 g cm⁻³.

Entry from Alexandria: a geometry-optimized Sr2TaRh structure (PBE).

Geometry as POSCAR:
```
Sr2TaRh
1.0
-5.6653 5.6653 2.4083
5.6653 -5.6653 2.4083
5.6653 5.6653 -2.4083
Sr Ta Rh
4 2 2
direct
0.3750 0.2114 0.3364 Sr
0.7886 0.1250 0.1636 Sr
0.8750 0.0386 0.6636 Sr
0.9614 0.6250 0.8364 Sr
0.2500 0.7500 0.5000 Ta
0.5000 0.5000 0.0000 Ta
0.0000 0.0000 0.0000 Rh
0.7500 0.2500 0.5000 Rh
```

Properties
As for the formation enthalpy at 0 K: 590 meV per atom. The density of states at the Fermi level comes out at 10.85 states/eV/cell. For the total DFT energy (no corrections), the calculation gives -5.052 eV/atom. The energy above the most stable polymorph in this dataset is 485.8 meV per atom. The total magnetization comes out at 2.9 μB per cell. The calculated density comes out at 4.93 g cm⁻³.

Entry from Alexandria: a geometry-optimized Ba4HgI3 structure (PBE).

Geometry as POSCAR:
```
Ba4HgI3
1.0
5.2728 -7.1766 0.0000
5.2728 7.1766 0.0000
0.0000 0.0000 4.8026
Ba Hg I
4 1 3
direct
0.2252 0.2252 0.5000 Ba
0.2389 0.7611 0.0000 Ba
0.7611 0.2389 0.0000 Ba
0.7748 0.7748 0.5000 Ba
0.0000 0.0000 0.0000 Hg
0.0000 0.5000 0.5000 I
0.5000 0.0000 0.5000 I
0.5000 0.5000 0.0000 I
```

Properties
The density of states at the Fermi level comes out at 7.99 states/eV/cell. For the total DFT energy (no corrections), the calculation gives -2.700 eV/atom. The total magnetization comes out at 0.0 μB per cell. The formation energy without anion corrections is -1.119 eV/atom. The calculated density comes out at 5.17 g cm⁻³.

Entry from Alexandria: a geometry-optimized Tc2SbBr structure (PBE).

Geometry as POSCAR:
```
Tc2SbBr
1.0
4.2121 -1.5539 0.0000
4.2121 1.5539 0.0000
-1.3446 0.0000 5.4003
Tc Sb Br
2 1 1
direct
0.2451 0.2451 0.2814 Tc
0.7549 0.7549 0.7186 Tc
0.5000 0.5000 0.0000 Sb
0.0000 0.0000 0.5000 Br
```

Properties
The density of states at the Fermi level comes out at 3.07 states/eV/cell. For the total DFT energy (no corrections), the calculation gives -6.027 eV/atom. The energy above the most stable polymorph in this dataset is 503.4 meV per atom. The total magnetization comes out at 0.0 μB per cell. The formation energy without anion corrections is 0.605 eV/atom. The calculated density comes out at 9.34 g cm⁻³.

Entry from Alexandria: a geometry-optimized Y2Tm2Sb2C structure (PBE).

Geometry as POSCAR:
```
Y2Tm2Sb2C
1.0
-2.3568 2.3568 7.8895
2.3568 -2.3568 7.8895
2.3568 2.3568 -7.8895
Y Tm Sb C
2 2 2 1
direct
0.1593 0.1593 0.0000 Y
0.8407 0.8407 0.0000 Y
0.0000 0.5000 0.5000 Tm
0.5000 0.0000 0.5000 Tm
0.3593 0.3593 0.0000 Sb
0.6407 0.6407 0.0000 Sb
0.0000 0.0000 0.0000 C
```

Properties
The density of states at the Fermi level comes out at 6.74 states/eV/cell. For the total DFT energy (no corrections), the calculation gives -6.448 eV/atom. The total magnetization comes out at 0.0 μB per cell. The formation energy without anion corrections is -0.828 eV/atom. The calculated density comes out at 7.31 g cm⁻³.

Entry from Alexandria: a geometry-optimized DyEr3As4 structure (PBE).

Geometry as POSCAR:
```
DyEr3As4
1.0
4.0905 -5.7847 0.0000
4.0905 5.7847 0.0000
0.0000 0.0000 4.0927
Dy Er As
1 3 4
direct
0.0000 0.0000 0.0000 Dy
0.0000 0.5000 0.5000 Er
0.5000 0.0000 0.5000 Er
0.5000 0.5000 0.0000 Er
0.2507 0.7493 0.0000 As
0.2516 0.2516 0.5000 As
0.7484 0.7484 0.5000 As
0.7493 0.2507 0.0000 As
```

Properties
As for the formation enthalpy at 0 K: -1524 meV per atom. The density of states at the Fermi level comes out at 1.05 states/eV/cell. For the total DFT energy (no corrections), the calculation gives -6.135 eV/atom. The energy above the most stable polymorph in this dataset is 3.2 meV per atom. The total magnetization comes out at 0.0 μB per cell. The calculated density comes out at 8.26 g cm⁻³.

Entry from Alexandria: a geometry-optimized Pm5Pr4Mg structure (PBE).

Geometry as POSCAR:
```
Pm5Pr4Mg
1.0
4.2668 0.0000 0.0000
0.0000 4.2668 0.0000
0.0000 0.0000 18.6683
Pm Pr Mg
5 4 1
direct
0.0000 0.0000 0.0000 Pm
0.0000 0.0000 0.2047 Pm
0.0000 0.0000 0.4078 Pm
0.0000 0.0000 0.5922 Pm
0.0000 0.0000 0.7953 Pm
0.5000 0.5000 0.1020 Pr
0.5000 0.5000 0.2982 Pr
0.5000 0.5000 0.7018 Pr
0.5000 0.5000 0.8980 Pr
0.5000 0.5000 0.5000 Mg
```

Properties
As for the formation enthalpy at 0 K: 82 meV per atom. The density of states at the Fermi level comes out at 18.79 states/eV/cell. For the total DFT energy (no corrections), the calculation gives -4.364 eV/atom. The energy above the most stable polymorph in this dataset is 0.0 meV per atom. The total magnetization comes out at 0.0 μB per cell. The calculated density comes out at 6.41 g cm⁻³.

Question: Among the records above, which one has the lowest total DFT energy (no corrections)?
Answer: MnVFe3

Question: Look up the calculated density of the sixth one.
Answer: 7.31 g cm⁻³